Computed, not measured: MnCdCl2O after structural relaxation at the PBE with a Hubbard U level of DFT.

a = 3.8760 Å, b = 7.4012 Å, c = 8.5088 Å
α = 90.00°, β = 90.00°, γ = 105.18°
With the nearest neighbours (Å) after each atom.
Element x y z (fractional)
1 Mn 0.3901 0.7802 0.7500  2 O 2.08
2 Mn 0.6099 0.2198 0.2500  2 O 2.08
3 Cd 0.0000 0.0000 0.5000  2 O 2.28
4 Cd 0.0000 0.0000 0.0000  2 O 2.28
5 Cl 0.6339 0.2679 0.5393  1 Mn 2.49, 2 Cd 2.74
6 Cl 0.3661 0.7321 0.4607  1 Mn 2.49, 2 Cd 2.74
7 Cl 0.3661 0.7321 0.0393  1 Mn 2.49, 2 Cd 2.74
8 Cl 0.6339 0.2679 0.9607  1 Mn 2.49, 2 Cd 2.74
9 O 0.9434 0.8868 0.7500  2 Mn 2.08, 2 Cd 2.28
10 O 0.0566 0.1132 0.2500  2 Mn 2.08, 2 Cd 2.28

Properties
density = 3.58 g cm⁻³
calculated total energy = -45.8 eV/cell
size of the total moment = 5.0 μB per formula unit